The following is a PBE calculation of crystalline LuScAlRu at its relaxed geometry, from Alexandria.

Geometry as extended XYZ:
```
4
Lattice="0.000 3.364 3.364 3.364 0.000 3.364 3.364 3.364 0.000" Properties=species:S:1:pos:R:3 pbc="T T T"
Lu 0.000 0.000 0.000
Sc 3.364 3.364 3.364
Al 5.045 5.045 5.045
Ru 1.682 1.682 1.682
```

Calculated values
The crystal system is cubic. The calculated total energy is -6.431 eV/atom. The calculation puts the formation energy at -0.463 eV/atom. The value obtained for the total magnetic moment is 0.00 Bohr magnetons per cell.